Entry 1:
Here is an optimized crystal structure of Tb3Nd2Tm6Sc from Alexandria. Energies are from PBE.

Cell and atoms, written as POSCAR:
```
Tb3Nd2Tm6Sc
1.0
3.046 -5.274 0.000
3.046 5.274 0.000
-2.026 0.000 11.478
Tb Nd Tm Sc
3 2 6 1
direct
0.000 0.000 0.000
0.334 0.666 0.000
0.666 0.334 0.000
0.166 0.834 0.500
0.834 0.166 0.500
0.086 0.417 0.250
0.253 0.253 0.750
0.417 0.086 0.250
0.583 0.914 0.750
0.747 0.747 0.250
0.914 0.583 0.750
0.500 0.500 0.500
```

Spin magnetization   0.0 Bohr magnetons per cell
Energy of formation from the pure elements   0.3 eV per formula unit

Entry 2:
Here is an optimized crystal structure of TbNd2Tm4Sc from Alexandria. Energies are from PBE.

Cell and atoms, written as POSCAR:
```
TbNd2Tm4Sc
1.0
4.993 0.000 0.000
0.000 4.993 0.000
0.000 0.000 9.883
Tb Nd Tm Sc
1 2 4 1
direct
0.000 0.000 0.000
0.000 0.000 0.500
0.500 0.500 0.000
0.000 0.500 0.255
0.000 0.500 0.745
0.500 0.000 0.255
0.500 0.000 0.745
0.500 0.500 0.500
```

Spin magnetization   0.0 Bohr magnetons per cell
Energy of formation from the pure elements   0.3 eV per formula unit

Entry 3:
Here is an optimized crystal structure of TbNd2Tm2Sc2 from Alexandria. Energies are from PBE.

Cell and atoms, written as POSCAR:
```
TbNd2Tm2Sc2
1.0
5.563 -1.716 0.000
5.563 1.716 0.000
-2.309 0.000 11.350
Tb Nd Tm Sc
1 2 2 2
direct
0.000 0.000 0.000
0.406 0.406 0.730
0.594 0.594 0.270
0.348 0.348 0.426
0.652 0.652 0.574
0.295 0.295 0.123
0.705 0.705 0.877
```

Spin magnetization   0.0 Bohr magnetons per cell
Energy of formation from the pure elements   1.2 eV per formula unit

Entry 4:
Here is an optimized crystal structure of Tb6NdTm2Sc from Alexandria. Energies are from PBE.

Cell and atoms, written as POSCAR:
```
Tb6NdTm2Sc
1.0
4.621 -7.465 0.000
4.621 7.465 0.000
-0.705 0.000 9.125
Tb Nd Tm Sc
12 2 4 2
direct
0.009 0.448 0.809
0.124 0.768 0.555
0.232 0.876 0.945
0.288 0.520 0.392
0.448 0.009 0.309
0.480 0.712 0.108
0.520 0.288 0.892
0.552 0.991 0.691
0.712 0.480 0.608
0.768 0.124 0.055
0.876 0.232 0.445
0.991 0.552 0.191
0.032 0.968 0.250
0.968 0.032 0.750
0.208 0.312 0.055
0.312 0.208 0.555
0.688 0.792 0.445
0.792 0.688 0.945
0.420 0.580 0.750
0.580 0.420 0.250
```

Spin magnetization   0.0 Bohr magnetons per cell
Energy of formation from the pure elements   1.3 eV per formula unit

Entry 5:
Here is an optimized crystal structure of Tb2NdTm2Sc2 from Alexandria. Energies are from PBE.

Cell and atoms, written as POSCAR:
```
Tb2NdTm2Sc2
1.0
8.367 -1.704 0.000
8.367 1.704 0.000
-4.298 0.000 7.419
Tb Nd Tm Sc
2 1 2 2
direct
0.227 0.227 0.154
0.773 0.773 0.846
0.500 0.500 0.000
0.067 0.067 0.717
0.933 0.933 0.283
0.157 0.157 0.448
0.843 0.843 0.552
```

Spin magnetization   0.0 Bohr magnetons per cell
Energy of formation from the pure elements   0.9 eV per formula unit

Entry 6:
Here is an optimized crystal structure of Tb3NdTmSc from Alexandria. Energies are from PBE.

Cell and atoms, written as POSCAR:
```
Tb3NdTmSc
1.0
2.482 -7.453 0.000
2.482 7.453 0.000
0.000 0.000 9.999
Tb Nd Tm Sc
6 2 2 2
direct
0.167 0.833 0.000
0.167 0.833 0.500
0.331 0.669 0.750
0.669 0.331 0.250
0.833 0.167 0.000
0.833 0.167 0.500
0.003 0.997 0.750
0.997 0.003 0.250
0.500 0.500 0.000
0.500 0.500 0.500
0.332 0.668 0.250
0.668 0.332 0.750
```

Spin magnetization   0.0 Bohr magnetons per cell
Energy of formation from the pure elements   0.2 eV per formula unit

Entry 7:
Here is an optimized crystal structure of Tb2Nd3Tm6Sc from Alexandria. Energies are from PBE.

Cell and atoms, written as POSCAR:
```
Tb2Nd3Tm6Sc
1.0
3.062 -5.301 0.000
3.062 5.301 0.000
-2.039 0.000 11.471
Tb Nd Tm Sc
2 3 6 1
direct
0.166 0.834 0.000
0.834 0.166 0.000
0.000 0.000 0.500
0.333 0.667 0.500
0.667 0.333 0.500
0.088 0.419 0.755
0.250 0.250 0.245
0.419 0.088 0.755
0.581 0.912 0.245
0.750 0.750 0.755
0.912 0.581 0.245
0.500 0.500 0.000
```

Spin magnetization   0.0 Bohr magnetons per cell
Energy of formation from the pure elements   0.4 eV per formula unit

Entry 8:
Here is an optimized crystal structure of Tb2NdTm5Sc from Alexandria. Energies are from PBE.

Cell and atoms, written as POSCAR:
```
Tb2NdTm5Sc
1.0
2.762 -9.776 0.000
2.762 9.776 0.000
0.000 0.000 10.319
Tb Nd Tm Sc
4 2 10 2
direct
0.111 0.889 0.500
0.114 0.886 0.919
0.886 0.114 0.419
0.889 0.111 0.000
0.414 0.586 0.639
0.586 0.414 0.139
0.019 0.981 0.206
0.277 0.723 0.507
0.298 0.702 0.891
0.377 0.623 0.205
0.481 0.519 0.923
0.519 0.481 0.423
0.623 0.377 0.705
0.702 0.298 0.391
0.723 0.277 0.007
0.981 0.019 0.706
0.197 0.803 0.199
0.803 0.197 0.699
```

Spin magnetization   0.0 Bohr magnetons per cell
Energy of formation from the pure elements   1.5 eV per formula unit

Entry 9:
Here is an optimized crystal structure of Tb4NdTm2Sc from Alexandria. Energies are from PBE.

Cell and atoms, written as POSCAR:
```
Tb4NdTm2Sc
1.0
-3.368 5.804 6.544
3.368 -5.804 6.544
3.368 5.804 -6.544
Tb Nd Tm Sc
8 2 4 2
direct
0.246 0.243 0.002
0.254 0.248 0.494
0.254 0.760 0.006
0.259 0.757 0.502
0.741 0.243 0.498
0.746 0.240 0.994
0.746 0.752 0.506
0.754 0.757 0.998
0.000 0.000 0.500
0.000 0.500 0.000
0.000 0.500 0.500
0.500 0.000 0.000
0.500 0.500 0.000
0.500 0.500 0.500
0.000 0.000 0.000
0.500 0.000 0.500
```

Spin magnetization   4.7 Bohr magnetons per cell
Energy of formation from the pure elements   3.5 eV per formula unit

Entry 10:
Here is an optimized crystal structure of Tb5NdTm2Sc from Alexandria. Energies are from PBE.

Cell and atoms, written as POSCAR:
```
Tb5NdTm2Sc
1.0
2.780 -9.890 0.000
2.780 9.890 0.000
0.000 0.000 10.369
Tb Nd Tm Sc
10 2 4 2
direct
0.018 0.982 0.500
0.277 0.723 0.803
0.299 0.701 0.187
0.377 0.623 0.502
0.481 0.519 0.221
0.519 0.481 0.721
0.623 0.377 0.002
0.701 0.299 0.687
0.723 0.277 0.303
0.982 0.018 0.000
0.412 0.588 0.934
0.588 0.412 0.434
0.112 0.888 0.795
0.114 0.886 0.217
0.886 0.114 0.717
0.888 0.112 0.295
0.196 0.804 0.496
0.804 0.196 0.996
```

Spin magnetization   0.0 Bohr magnetons per cell
Energy of formation from the pure elements   1.6 eV per formula unit

Entry 11:
Here is an optimized crystal structure of Tb2NdTm4Sc from Alexandria. Energies are from PBE.

Cell and atoms, written as POSCAR:
```
Tb2NdTm4Sc
1.0
4.949 0.000 0.000
0.000 4.951 0.000
-0.007 0.000 9.919
Tb Nd Tm Sc
2 1 4 1
direct
0.000 0.000 0.000
0.500 0.500 0.500
0.000 0.000 0.500
0.000 0.500 0.243
0.000 0.500 0.757
0.500 0.000 0.243
0.500 0.000 0.757
0.500 0.500 0.000
```

Spin magnetization   0.0 Bohr magnetons per cell
Energy of formation from the pure elements   0.3 eV per formula unit

Entry 12:
Here is an optimized crystal structure of Tb2Nd4TmSc from Alexandria. Energies are from PBE.

Cell and atoms, written as POSCAR:
```
Tb2Nd4TmSc
1.0
5.096 0.000 0.000
0.000 5.108 0.000
0.000 0.000 9.909
Tb Nd Tm Sc
2 4 1 1
direct
0.000 0.000 0.000
0.500 0.500 0.500
0.000 0.500 0.246
0.000 0.500 0.754
0.500 0.000 0.246
0.500 0.000 0.754
0.000 0.000 0.500
0.500 0.500 0.000
```

Spin magnetization   0.0 Bohr magnetons per cell
Energy of formation from the pure elements   0.2 eV per formula unit

Entry 13:
Here is an optimized crystal structure of TbNd2TmSc4 from Alexandria. Energies are from PBE.

Cell and atoms, written as POSCAR:
```
TbNd2TmSc4
1.0
5.967 0.000 0.000
0.000 3.449 0.000
-1.971 0.000 11.024
Tb Nd Tm Sc
1 2 1 4
direct
0.000 0.000 0.000
0.500 0.000 0.500
0.500 0.500 0.000
0.000 0.500 0.500
0.248 0.000 0.749
0.249 0.500 0.251
0.751 0.500 0.749
0.752 0.000 0.251
```

Spin magnetization   0.0 Bohr magnetons per cell
Energy of formation from the pure elements   0.5 eV per formula unit

Entry 14:
Here is an optimized crystal structure of Tb4NdY2Sc from Alexandria. Energies are from PBE.

Cell and atoms, written as POSCAR:
```
Tb4NdY2Sc
1.0
4.999 0.000 0.000
0.000 5.010 0.000
-0.009 0.000 10.028
Tb Nd Y Sc
4 1 2 1
direct
0.000 0.000 0.243
0.000 0.000 0.757
0.500 0.500 0.243
0.500 0.500 0.757
0.000 0.500 0.500
0.000 0.500 0.000
0.500 0.000 0.500
0.500 0.000 0.000
```

Spin magnetization   0.0 Bohr magnetons per cell
Energy of formation from the pure elements   0.3 eV per formula unit

Entry 15:
Here is an optimized crystal structure of TbNd2Y5Sc from Alexandria. Energies are from PBE.

Cell and atoms, written as POSCAR:
```
TbNd2Y5Sc
1.0
2.790 -10.099 0.000
2.790 10.099 0.000
0.000 0.000 10.396
Tb Nd Y Sc
2 4 10 2
direct
0.093 0.907 0.500
0.907 0.093 0.000
0.384 0.616 0.781
0.388 0.612 0.360
0.612 0.388 0.860
0.616 0.384 0.281
0.018 0.982 0.786
0.131 0.869 0.066
0.202 0.798 0.746
0.228 0.772 0.376
0.484 0.516 0.061
0.516 0.484 0.561
0.772 0.228 0.876
0.798 0.202 0.246
0.869 0.131 0.566
0.982 0.018 0.286
0.308 0.692 0.063
0.692 0.308 0.563
```

Spin magnetization   0.0 Bohr magnetons per cell
Energy of formation from the pure elements   1.4 eV per formula unit

Entry 16:
Here is an optimized crystal structure of Tb6NdY2Sc3 from Alexandria. Energies are from PBE.

Cell and atoms, written as POSCAR:
```
Tb6NdY2Sc3
1.0
3.041 -5.265 0.000
3.041 5.265 0.000
-2.021 0.000 11.344
Tb Nd Y Sc
6 1 2 3
direct
0.087 0.420 0.761
0.246 0.246 0.239
0.420 0.087 0.761
0.580 0.913 0.239
0.754 0.754 0.761
0.913 0.580 0.239
0.000 0.000 0.500
0.333 0.667 0.500
0.667 0.333 0.500
0.167 0.833 0.000
0.500 0.500 0.000
0.833 0.167 0.000
```

Spin magnetization   0.0 Bohr magnetons per cell
Energy of formation from the pure elements   0.6 eV per formula unit

Entry 17:
Here is an optimized crystal structure of Tb2NdY2Sc from Alexandria. Energies are from PBE.

Cell and atoms, written as POSCAR:
```
Tb2NdY2Sc
1.0
6.942 0.000 0.000
0.000 5.594 0.000
0.000 0.000 9.652
Tb Nd Y Sc
4 2 4 2
direct
0.250 0.000 0.164
0.250 0.500 0.671
0.750 0.000 0.836
0.750 0.500 0.329
0.000 0.500 0.000
0.500 0.500 0.000
0.000 0.000 0.500
0.250 0.500 0.337
0.500 0.000 0.500
0.750 0.500 0.663
0.250 0.000 0.829
0.750 0.000 0.171
```

Spin magnetization   0.0 Bohr magnetons per cell
Energy of formation from the pure elements   0.5 eV per formula unit

Entry 18:
Here is an optimized crystal structure of Tb2NdY5Sc from Alexandria. Energies are from PBE.

Cell and atoms, written as POSCAR:
```
Tb2NdY5Sc
1.0
2.795 -9.951 0.000
2.795 9.951 0.000
0.000 0.000 10.410
Tb Nd Y Sc
4 2 10 2
direct
0.111 0.889 0.500
0.115 0.885 0.921
0.885 0.115 0.421
0.889 0.111 0.000
0.412 0.588 0.636
0.588 0.412 0.136
0.018 0.982 0.204
0.274 0.726 0.516
0.298 0.702 0.889
0.372 0.628 0.207
0.480 0.520 0.923
0.520 0.480 0.423
0.628 0.372 0.707
0.702 0.298 0.389
0.726 0.274 0.016
0.982 0.018 0.704
0.193 0.807 0.202
0.807 0.193 0.702
```

Spin magnetization   0.0 Bohr magnetons per cell
Energy of formation from the pure elements   1.5 eV per formula unit

Entry 19:
Here is an optimized crystal structure of Tb2Nd6Y3Sc from Alexandria. Energies are from PBE.

Cell and atoms, written as POSCAR:
```
Tb2Nd6Y3Sc
1.0
3.128 -5.417 0.000
3.128 5.417 0.000
-2.080 0.000 11.621
Tb Nd Y Sc
2 6 3 1
direct
0.167 0.833 0.000
0.833 0.167 0.000
0.088 0.418 0.753
0.251 0.251 0.247
0.418 0.088 0.753
0.582 0.912 0.247
0.749 0.749 0.753
0.912 0.582 0.247
0.000 0.000 0.500
0.333 0.667 0.500
0.667 0.333 0.500
0.500 0.500 0.000
```

Spin magnetization   0.0 Bohr magnetons per cell
Energy of formation from the pure elements   0.3 eV per formula unit

Entry 20:
Here is an optimized crystal structure of Tb5Nd2YSc from Alexandria. Energies are from PBE.

Cell and atoms, written as POSCAR:
```
Tb5Nd2YSc
1.0
2.787 -10.110 0.000
2.787 10.110 0.000
0.000 0.000 10.373
Tb Nd Y Sc
10 4 2 2
direct
0.015 0.985 0.500
0.274 0.726 0.805
0.297 0.703 0.188
0.374 0.626 0.505
0.484 0.516 0.228
0.516 0.484 0.728
0.626 0.374 0.005
0.703 0.297 0.688
0.726 0.274 0.305
0.985 0.015 0.000
0.114 0.886 0.797
0.116 0.884 0.220
0.884 0.116 0.720
0.886 0.114 0.297
0.406 0.594 0.946
0.594 0.406 0.446
0.196 0.804 0.499
0.804 0.196 0.999
```

Spin magnetization   0.0 Bohr magnetons per cell
Energy of formation from the pure elements   1.4 eV per formula unit

Short version: calculated volume = 30.7 30.8 31.0 31.5 30.2 30.8 31.0 31.0 32.0 31.7 30.4 32.2 28.4 31.4 32.5 30.3 31.2 32.2 32.8 32.5 Å³ per atom, in the order given.
Short version: density of states at the Fermi level = 15.40 12.09 12.44 29.22 12.05 17.66 16.25 27.06 35.97 29.84 12.28 10.63 11.02 12.16 26.81 17.08 21.45 29.95 14.12 26.78 states/eV per cell, in the order given.